Entry 1:
Material: TaCuPt2
Method: DFT, PBE
State: optimized geometry

Calculated values
DFT total energy = -29.2 eV for the cell shown
space-group type = F-43m (216)

abc: 4.438 4.438 4.438
angles: 60.00 60.00 60.00
Sites, in units of the cell vectors:
1 Cu 0.500 0.500 0.500
2 Pt 0.000 0.000 0.000
3 Pt 0.250 0.250 0.250
4 Ta 0.750 0.750 0.750



Entry 2:
Material: Ta2CuPt2
Method: DFT, PBE
State: optimized geometry

Calculated values
energy relative to the lowest polymorph listed for this composition = 0 meV/atom
DFT total energy = -83.6 eV for the cell shown
space-group type = Cmc2_1 (36)

abc: 4.722 4.765 7.662
angles: 90.00 107.95 90.00
Sites, in units of the cell vectors:
1 Ta 0.355 0.527 0.710
2 Ta 0.859 0.026 0.719
3 Ta 0.141 0.526 0.281
4 Ta 0.645 0.027 0.290
5 Cu 0.461 0.028 0.923
6 Cu 0.539 0.528 0.077
7 Pt 0.944 0.525 0.889
8 Pt 0.723 0.528 0.447
9 Pt 0.277 0.028 0.553
10 Pt 0.056 0.025 0.111



Entry 3:
Material: TaCuPt6
Method: DFT, PBE
State: optimized geometry

Calculated values
DFT total energy = -224.0 eV for the cell shown
space-group type = Cmmm (65)

abc: 6.840 6.840 11.188
angles: 90.00 90.00 109.40
Sites, in units of the cell vectors:
1 Ta 0.753 0.247 0.500
2 Ta 0.247 0.753 0.500
3 Ta 0.000 0.000 0.759
4 Ta 0.000 0.000 0.241
5 Cu 0.748 0.252 0.000
6 Cu 0.252 0.748 0.000
7 Cu 0.500 0.500 0.756
8 Cu 0.500 0.500 0.244
9 Pt 0.751 0.249 0.750
10 Pt 0.124 0.374 0.875
11 Pt 0.876 0.626 0.875
12 Pt 0.249 0.751 0.750
13 Pt 0.626 0.876 0.875
14 Pt 0.374 0.124 0.875
15 Pt 0.500 0.500 0.500
16 Pt 0.876 0.625 0.625
17 Pt 0.625 0.876 0.625
18 Pt 0.751 0.249 0.250
19 Pt 0.124 0.375 0.375
20 Pt 0.876 0.625 0.375
21 Pt 0.249 0.751 0.250
22 Pt 0.625 0.876 0.375
23 Pt 0.375 0.124 0.375
24 Pt 0.500 0.500 0.000
25 Pt 0.876 0.626 0.125
26 Pt 0.626 0.876 0.125
27 Pt 0.000 0.000 0.500
28 Pt 0.375 0.124 0.625
29 Pt 0.124 0.375 0.625
30 Pt 0.000 0.000 0.000
31 Pt 0.374 0.124 0.125
32 Pt 0.124 0.374 0.125



Entry 4:
Material: Ta2CuPt
Method: DFT, PBE
State: optimized geometry

Calculated values
DFT total energy = -34.0 eV for the cell shown
space-group type = R3m (160)

abc: 9.436 9.436 9.436
angles: 17.38 17.38 17.38
Sites, in units of the cell vectors:
1 Cu 0.498 0.498 0.498
2 Pt 0.753 0.753 0.753
3 Ta 0.005 0.005 0.005
4 Ta 0.244 0.244 0.244



ΔH_f (0 K) for the records above, in order: -285; -381; -477; -33 meV/atom